Crystalline Li3Ni5OF11 at its relaxed geometry. Source: Alexandria, functional GGA+U.

a b c (Å): 5.153 5.491 8.926
angles (deg): 74.25 89.44 62.67
Fractional coordinates of all 20 atoms:
Li 0.000 0.000 0.000
Li 0.074 0.861 0.359
Li 0.587 0.840 0.869
Ni 0.277 0.456 0.755
Ni 0.301 0.399 0.097
Ni 0.536 0.978 0.498
Ni 0.765 0.443 0.261
Ni 0.816 0.357 0.597
O 0.775 0.166 0.455
F 0.237 0.171 0.298
F 0.257 0.184 0.955
F 0.265 0.176 0.646
F 0.311 0.677 0.893
F 0.318 0.679 0.202
F 0.369 0.673 0.557
F 0.718 0.172 0.802
F 0.743 0.189 0.137
F 0.826 0.666 0.398
F 0.829 0.658 0.707
F 0.859 0.661 0.061

relative energy among the computed polymorphs: 0.001 eV/atom